[1]
# GGA-PBE Sn2Hg2As, relaxed
# **Theoretical density**: 8.6 g cm⁻³
# **Size of the total moment**: 0.0 μB/cell
# **Offset from the most stable computed form**: 0.1240 eV/atom
data_Sn2Hg2As
_chemical_formula_sum 'Sn4 Hg4 As2'
_cell_length_a 7.4378
_cell_length_b 7.4378
_cell_length_c 4.9718
_cell_angle_alpha 90.00
_cell_angle_beta 90.00
_cell_angle_gamma 90.00
_space_group_name_H-M_alt 'P 4/m b m'
_space_group_IT_number 127
_space_group_name_Hall '-P 4 2ab'
loop_
_atom_site_label
_atom_site_type_symbol
_atom_site_fract_x
_atom_site_fract_y
_atom_site_fract_z
Sn1 Sn 0.1501 0.3499 0.0000
Hg1 Hg 0.1666 0.6666 0.5000
As1 As 0.0000 0.0000 0.0000

[2]
# GGA-PBE CdTc2W, relaxed
# **Theoretical density**: 12.6 g cm⁻³
# **Size of the total moment**: 0.0 μB/cell
# **Energy**: -8.24 eV per atom
data_CdTc2W
_chemical_formula_sum 'Cd2 Tc4 W2'
_cell_length_a 3.1514
_cell_length_b 4.5045
_cell_length_c 9.1386
_cell_angle_alpha 90.00
_cell_angle_beta 90.00
_cell_angle_gamma 90.00
_space_group_name_H-M_alt 'I m m 2'
_space_group_IT_number 44
_space_group_name_Hall 'I 2 -2'
loop_
_atom_site_label
_atom_site_type_symbol
_atom_site_fract_x
_atom_site_fract_y
_atom_site_fract_z
Cd1 Cd 0.0000 0.0000 0.0000
Tc1 Tc 0.0000 0.0000 0.4960
Tc2 Tc 0.0000 0.5000 0.2349
W1 W 0.0000 0.5000 0.7684

[3]
# GGA-PBE BeB2Pt5, relaxed
# **Theoretical density**: 14.2 g cm⁻³
# **Size of the total moment**: 0.0 μB/cell
# **Energy**: -6.13 eV per atom
data_BeB2Pt5
_chemical_formula_sum 'Be2 B4 Pt10'
_cell_length_a 3.7967
_cell_length_b 11.0030
_cell_length_c 5.9339
_cell_angle_alpha 90.00
_cell_angle_beta 108.40
_cell_angle_gamma 90.00
_space_group_name_H-M_alt 'P 1 21/m 1'
_space_group_IT_number 11
_space_group_name_Hall '-P 2yb'
loop_
_atom_site_label
_atom_site_type_symbol
_atom_site_fract_x
_atom_site_fract_y
_atom_site_fract_z
Be1 Be 0.0232 0.2500 0.0518
B1 B 0.3629 0.5476 0.7297
Pt1 Pt 0.2177 0.0820 0.4343
Pt2 Pt 0.3260 0.7500 0.6549
Pt3 Pt 0.4574 0.1239 0.9233

Look up the size of the total moment of the second one. 0.0 μB/cell

Which value of size of the total moment does entry 3 give? 0.0 μB/cell

What did the third record say?
# GGA-PBE BeB2Pt5, relaxed
# **Theoretical density**: 14.2 g cm⁻³
# **Size of the total moment**: 0.0 μB/cell
# **Energy**: -6.13 eV per atom
data_BeB2Pt5
_chemical_formula_sum 'Be2 B4 Pt10'
_cell_length_a 3.7967
_cell_length_b 11.0030
_cell_length_c 5.9339
_cell_angle_alpha 90.00
_cell_angle_beta 108.40
_cell_angle_gamma 90.00
_space_group_name_H-M_alt 'P 1 21/m 1'
_space_group_IT_number 11
_space_group_name_Hall '-P 2yb'
loop_
_atom_site_label
_atom_site_type_symbol
_atom_site_fract_x
_atom_site_fract_y
_atom_site_fract_z
Be1 Be 0.0232 0.2500 0.0518
B1 B 0.3629 0.5476 0.7297
Pt1 Pt 0.2177 0.0820 0.4343
Pt2 Pt 0.3260 0.7500 0.6549
Pt3 Pt 0.4574 0.1239 0.9233